[1]
First-principles (GGA-PBE) data for MnRu2Rh after structural relaxation, as listed in Alexandria.

a = 4.6396 Å, b = 4.6396 Å, c = 2.6855 Å
α = 90.00°, β = 90.00°, γ = 109.76°
Sites, in units of the cell vectors:
Mn: 0.0000 0.0000 0.0000
Ru: 0.0000 0.5000 0.5000
Ru: 0.5000 0.0000 0.5000
Rh: 0.5000 0.5000 0.0000

Output
- Energy of formation: 24 kJ/mol of formula units

***

[2]
First-principles (GGA-PBE) data for Ho2MgSe4 after structural relaxation, as listed in Alexandria.

a = 13.1409 Å, b = 4.0099 Å, c = 14.0734 Å
α = 90.00°, β = 90.00°, γ = 90.00°
Sites, in units of the cell vectors:
Ho: 0.1157 0.2500 0.0748
Ho: 0.1408 0.2500 0.7020
Ho: 0.3592 0.7500 0.2020
Ho: 0.3843 0.7500 0.5748
Ho: 0.6157 0.2500 0.4252
Ho: 0.6408 0.2500 0.7980
Ho: 0.8592 0.7500 0.2980
Ho: 0.8843 0.7500 0.9252
Mg: 0.1107 0.7500 0.4570
Mg: 0.3893 0.2500 0.9570
Mg: 0.6107 0.7500 0.0430
Mg: 0.8893 0.2500 0.5430
Se: 0.0066 0.7500 0.6185
Se: 0.0295 0.2500 0.8820
Se: 0.2239 0.2500 0.2480
Se: 0.2397 0.2500 0.5141
Se: 0.2603 0.7500 0.0141
Se: 0.2761 0.7500 0.7480
Se: 0.4705 0.7500 0.3820
Se: 0.4934 0.2500 0.1185
Se: 0.5066 0.7500 0.8815
Se: 0.5295 0.2500 0.6180
Se: 0.7239 0.2500 0.2520
Se: 0.7397 0.2500 0.9859
Se: 0.7603 0.7500 0.4859
Se: 0.7761 0.7500 0.7520
Se: 0.9705 0.7500 0.1180
Se: 0.9934 0.2500 0.3815

Output
- E_form (uncorrected): -1108 kJ/mol of formula units
- Energy above the lowest structure with this stoichiometry: 0.061 eV per atom

***

[3]
First-principles (GGA-PBE) data for Be2HgPb after structural relaxation, as listed in Alexandria.

a = 4.6901 Å, b = 4.6901 Å, c = 4.6901 Å
α = 60.00°, β = 60.00°, γ = 60.00°
Sites, in units of the cell vectors:
Be: 0.2500 0.2500 0.2500
Be: 0.7500 0.7500 0.7500
Hg: 0.0000 0.0000 0.0000
Pb: 0.5000 0.5000 0.5000

Output
- Energy of formation: 297 kJ/mol of formula units
- Energy above the lowest structure with this stoichiometry: 0.396 eV per atom

***

[4]
First-principles (GGA-PBE) data for TcHSe2 after structural relaxation, as listed in Alexandria.

a = 6.5634 Å, b = 6.5634 Å, c = 6.5634 Å
α = 101.52°, β = 101.52°, γ = 126.91°
Sites, in units of the cell vectors:
Tc: 0.2500 0.7500 0.5000
Tc: 0.7500 0.2500 0.5000
H: 0.2500 0.2500 0.0000
H: 0.7500 0.7500 0.0000
Se: 0.1575 0.6575 0.8151
Se: 0.3425 0.1575 0.5000
Se: 0.6575 0.8425 0.5000
Se: 0.8425 0.3425 0.1849

Output
- Energy above the lowest structure with this stoichiometry: 0.576 eV per atom

***

[5]
First-principles (GGA-PBE) data for HoErAl2 after structural relaxation, as listed in Alexandria.

a = 5.0613 Å, b = 5.0613 Å, c = 5.0613 Å
α = 60.00°, β = 60.00°, γ = 60.00°
Sites, in units of the cell vectors:
Ho: 0.0000 0.0000 0.0000
Er: 0.5000 0.5000 0.5000
Al: 0.2500 0.2500 0.2500
Al: 0.7500 0.7500 0.7500

Output
- Energy of formation: -152 kJ/mol of formula units
- Energy above the lowest structure with this stoichiometry: 0.001 eV per atom

***

[6]
First-principles (GGA-PBE) data for MgTc3W after structural relaxation, as listed in Alexandria.

a = 4.7383 Å, b = 4.7383 Å, c = 4.7383 Å
α = 90.00°, β = 90.00°, γ = 90.00°
Sites, in units of the cell vectors:
Mg: 0.0000 0.0000 0.0000
Tc: 0.0000 0.5000 0.5000
Tc: 0.5000 0.0000 0.5000
Tc: 0.5000 0.5000 0.0000
W: 0.5000 0.5000 0.5000

Output
- Energy of formation: 702 kJ/mol of formula units
- Energy above the lowest structure with this stoichiometry: 0.000 eV per atom

***

[7]
First-principles (GGA-PBE) data for YBCl after structural relaxation, as listed in Alexandria.

a = 3.4914 Å, b = 3.4914 Å, c = 11.2188 Å
α = 91.07°, β = 91.07°, γ = 60.00°
Sites, in units of the cell vectors:
Y: 0.0065 0.0065 0.1621
Y: 0.9935 0.9935 0.8379
B: 0.3336 0.3336 0.0062
B: 0.6664 0.6664 0.9938
Cl: 0.3203 0.3203 0.6748
Cl: 0.6797 0.6797 0.3252

Output
- E_form (uncorrected): -371 kJ/mol of formula units
- Energy above the lowest structure with this stoichiometry: 0.000 eV per atom

***

[8]
First-principles (GGA-PBE) data for MgCrAg4 after structural relaxation, as listed in Alexandria.

a = 5.4827 Å, b = 5.4827 Å, c = 5.4827 Å
α = 60.00°, β = 60.00°, γ = 60.00°
Sites, in units of the cell vectors:
Mg: 0.0000 0.0000 0.0000
Cr: 0.2500 0.2500 0.2500
Ag: 0.1252 0.6249 0.6249
Ag: 0.6249 0.1252 0.6249
Ag: 0.6249 0.6249 0.1252
Ag: 0.6249 0.6249 0.6249

Output
- Energy of formation: 126 kJ/mol of formula units

***

| no. | DOS(E_F) (states/eV per cell) | total magnetization (μB/f.u.) |
| --- | --- | --- |
| 1 | 5.01 | 1.657 |
| 2 | 0.00 | 0.000 |
| 3 | 0.64 | 0.000 |
| 4 | 4.92 | 0.835 |
| 5 | 1.52 | 0.000 |
| 6 | 4.99 | 2.398 |
| 7 | 2.34 | 0.000 |
| 8 | 2.22 | 4.551 |